Entry 1:
DFT (SCAN) results for MgInCu2 at its PBEsol-relaxed geometry.

Cell and atoms, written as CIF:
```
data_MgInCu2
_chemical_formula_sum 'Mg1 In1 Cu2'
_symmetry_space_group_name_H-M 'P 1'
_symmetry_Int_Tables_number 1
_symmetry_space_group_name_Hall 'P 1'
_cell_length_a 3.204
_cell_length_b 3.204
_cell_length_c 6.030
_cell_angle_alpha 90.00
_cell_angle_beta 90.00
_cell_angle_gamma 90.00
loop_
_atom_site_label
_atom_site_type_symbol
_atom_site_fract_x
_atom_site_fract_y
_atom_site_fract_z
Mg1 Mg 0.000 0.000 0.000
In1 In 0.000 0.000 0.500
Cu1 Cu 0.500 0.500 0.236
Cu2 Cu 0.500 0.500 0.764
```

Values from the calculation:
formation energy: -0.046 eV/atom

Entry 2:
DFT (SCAN) results for La2SbPt2 at its PBEsol-relaxed geometry.

Cell and atoms, written as CIF:
```
data_La2SbPt2
_chemical_formula_sum 'La4 Sb2 Pt4'
_symmetry_space_group_name_H-M 'P 1'
_symmetry_Int_Tables_number 1
_symmetry_space_group_name_Hall 'P 1'
_cell_length_a 7.676
_cell_length_b 7.676
_cell_length_c 4.034
_cell_angle_alpha 90.00
_cell_angle_beta 90.00
_cell_angle_gamma 90.00
loop_
_atom_site_label
_atom_site_type_symbol
_atom_site_fract_x
_atom_site_fract_y
_atom_site_fract_z
La1 La 0.178 0.322 0.000
La2 La 0.322 0.822 0.000
La3 La 0.678 0.178 0.000
La4 La 0.822 0.678 0.000
Sb1 Sb 0.000 0.000 0.500
Sb2 Sb 0.500 0.500 0.500
Pt1 Pt 0.128 0.628 0.500
Pt2 Pt 0.372 0.128 0.500
Pt3 Pt 0.628 0.872 0.500
Pt4 Pt 0.872 0.372 0.500
```

Values from the calculation:
electronic total energy: -270.45 eV per formula unit

Entry 3:
DFT (SCAN) results for Sc3Te at its PBEsol-relaxed geometry.

Cell and atoms, written as CIF:
```
data_Sc3Te
_chemical_formula_sum 'Sc12 Te4'
_symmetry_space_group_name_H-M 'P 1'
_symmetry_Int_Tables_number 1
_symmetry_space_group_name_Hall 'P 1'
_cell_length_a 6.781
_cell_length_b 9.092
_cell_length_c 5.984
_cell_angle_alpha 90.00
_cell_angle_beta 90.00
_cell_angle_gamma 90.00
loop_
_atom_site_label
_atom_site_type_symbol
_atom_site_fract_x
_atom_site_fract_y
_atom_site_fract_z
Sc1 Sc 0.016 0.250 0.141
Sc2 Sc 0.201 0.034 0.622
Sc3 Sc 0.201 0.466 0.622
Sc4 Sc 0.299 0.534 0.122
Sc5 Sc 0.299 0.966 0.122
Sc6 Sc 0.484 0.750 0.641
Sc7 Sc 0.516 0.250 0.359
Sc8 Sc 0.701 0.034 0.878
Sc9 Sc 0.701 0.466 0.878
Sc10 Sc 0.799 0.534 0.378
Sc11 Sc 0.799 0.966 0.378
Sc12 Sc 0.984 0.750 0.859
Te1 Te 0.113 0.750 0.398
Te2 Te 0.387 0.250 0.898
Te3 Te 0.613 0.750 0.102
Te4 Te 0.887 0.250 0.602
```

Values from the calculation:
energy above the lowest structure with this stoichiometry: 0 meV per atom

Entry 4:
DFT (SCAN) results for YAl2Ni at its PBEsol-relaxed geometry.

Cell and atoms, written as CIF:
```
data_YAl2Ni
_chemical_formula_sum 'Y1 Al2 Ni1'
_symmetry_space_group_name_H-M 'P 1'
_symmetry_Int_Tables_number 1
_symmetry_space_group_name_Hall 'P 1'
_cell_length_a 3.980
_cell_length_b 3.980
_cell_length_c 4.367
_cell_angle_alpha 90.00
_cell_angle_beta 90.00
_cell_angle_gamma 90.00
loop_
_atom_site_label
_atom_site_type_symbol
_atom_site_fract_x
_atom_site_fract_y
_atom_site_fract_z
Y1 Y 0.000 0.000 0.000
Al1 Al 0.000 0.500 0.500
Al2 Al 0.500 0.000 0.500
Ni1 Ni 0.500 0.500 0.000
```

Values from the calculation:
formation energy: -0.301 eV/atom